This record from Alexandria via LeMat-Bulk describes a geometry-optimized RbSrCo2F8 structure. The functional is PBE with a Hubbard U.

Computed properties:
Raw total energy in eV/atom: -4.8648
Total magnetic moment in μB per formula unit: 7.00
Density in Mg/m³: 2.9

Unit cell a=5.9257 b=5.9257 c=8.2967 alpha=90.00 beta=90.00 gamma=120.00
Space group P-3 (No. 147)
Asymmetric unit:
Rb 0.0000 0.0000 0.0000
Sr 0.0000 0.0000 0.5000
Co 0.3333 0.6667 0.7808
F 0.1014 0.3359 0.6979
F 0.3333 0.6667 0.0012